First-principles (GGA-PBE) data for crystalline Tb2Y4Tm at its relaxed geometry, as listed in Alexandria via LeMat-Bulk.

VASP energy in eV per atom: -5.52
Total magnetization in μB per formula unit: 0.00
Crystal system: monoclinic

Cell: 5.9571 6.6940 11.6755 Å, 90.00 104.75 90.00°
Closest atoms and distances in Å follow each position.
Element x y z (fractional)
1 Tb 0.0976 0.2500 0.0078  2 Tm 3.30-3.40, 4 Y 3.35-3.67, 2 Tb 3.53
2 Tb 0.2236 0.2500 0.5586  9 Y 3.30-3.51
3 Tb 0.7764 0.7500 0.4414  9 Y 3.30-3.51
4 Tb 0.9024 0.7500 0.9922  2 Tm 3.30-3.40, 4 Y 3.35-3.67, 2 Tb 3.53
5 Y 0.1340 0.5027 0.2898  5 Y 3.31-3.64, 1 Tm 3.38, 3 Tb 3.49-3.66
6 Y 0.1340 0.9973 0.2898  5 Y 3.31-3.64, 1 Tm 3.38, 3 Tb 3.49-3.66
7 Y 0.3450 0.7500 0.5749  1 Tm 3.29, 4 Tb 3.33-3.42, 4 Y 3.54-3.64
8 Y 0.4844 0.2500 0.8442  3 Tb 3.30-3.67, 3 Tm 3.38-3.46, 2 Y 3.49
9 Y 0.5156 0.7500 0.1558  3 Tb 3.30-3.67, 3 Tm 3.38-3.46, 2 Y 3.49
10 Y 0.6550 0.2500 0.4251  1 Tm 3.29, 4 Tb 3.33-3.42, 4 Y 3.54-3.64
11 Y 0.8660 0.0027 0.7102  5 Y 3.31-3.64, 1 Tm 3.38, 3 Tb 3.49-3.66
12 Y 0.8660 0.4973 0.7102  5 Y 3.31-3.64, 1 Tm 3.38, 3 Tb 3.49-3.66
13 Tm 0.3440 0.7500 0.8569  6 Y 3.29-3.46, 2 Tb 3.30-3.40
14 Tm 0.6560 0.2500 0.1431  6 Y 3.29-3.46, 2 Tb 3.30-3.40

---

First-principles (GGA-PBE) data for crystalline Tb6Y2Tm3Zr at its relaxed geometry, as listed in Alexandria via LeMat-Bulk.

VASP energy in eV per atom: -5.18
Total magnetization in μB per formula unit: 0.00
Crystal system: monoclinic

Cell: 6.0770 6.0770 11.5977 Å, 94.98 94.98 119.91°
Closest atoms and distances in Å follow each position.
Element x y z (fractional)
1 Tb 0.0824 0.4090 0.7473  6 Tb 3.44-3.55, 1 Zr 3.45, 2 Y 3.49, 3 Tm 3.51-3.55
2 Tb 0.2439 0.2439 0.2536  6 Tb 3.44-3.55, 1 Zr 3.44, 2 Y 3.48, 3 Tm 3.52-3.56
3 Tb 0.4090 0.0824 0.7473  6 Tb 3.44-3.55, 1 Zr 3.45, 2 Y 3.49, 3 Tm 3.51-3.55
4 Tb 0.5910 0.9176 0.2527  6 Tb 3.44-3.55, 1 Zr 3.45, 2 Y 3.49, 3 Tm 3.51-3.55
5 Tb 0.7561 0.7561 0.7464  6 Tb 3.44-3.55, 1 Zr 3.44, 2 Y 3.48, 3 Tm 3.52-3.56
6 Tb 0.9176 0.5910 0.2527  6 Tb 3.44-3.55, 1 Zr 3.45, 2 Y 3.49, 3 Tm 3.51-3.55
7 Y 0.3331 0.6669 0.5000  6 Tb 3.48-3.49, 3 Zr 3.50-3.51, 3 Y 3.51
8 Y 0.6669 0.3331 0.5000  6 Tb 3.48-3.49, 3 Zr 3.50-3.51, 3 Y 3.51
9 Tm 0.1665 0.8335 0.0000  6 Tm 3.50-3.51, 6 Tb 3.51-3.55
10 Tm 0.5000 0.5000 0.0000  6 Tm 3.51, 6 Tb 3.52-3.56
11 Tm 0.8335 0.1665 0.0000  6 Tm 3.50-3.51, 6 Tb 3.51-3.55
12 Zr 0.0000 0.0000 0.5000  6 Tb 3.44-3.45, 6 Y 3.50-3.51

---

First-principles (GGA-PBE) data for crystalline Tb2Y6Tm3Zr at its relaxed geometry, as listed in Alexandria via LeMat-Bulk.

VASP energy in eV per atom: -5.78
Total magnetization in μB per formula unit: 0.00
Crystal system: monoclinic

Cell: 6.0812 6.0812 11.6409 Å, 94.97 94.97 119.92°
Closest atoms and distances in Å follow each position.
Element x y z (fractional)
1 Tb 0.1669 0.8331 0.0000  6 Y 3.49, 3 Zr 3.51-3.52, 3 Tb 3.51
2 Tb 0.8331 0.1669 0.0000  6 Y 3.49, 3 Zr 3.51-3.52, 3 Tb 3.51
3 Y 0.0906 0.4179 0.7535  6 Y 3.45-3.55, 1 Zr 3.46, 2 Tb 3.49, 3 Tm 3.53-3.57
4 Y 0.2550 0.2550 0.2460  6 Y 3.45-3.55, 1 Zr 3.45, 2 Tb 3.49, 3 Tm 3.54-3.57
5 Y 0.4179 0.0906 0.7535  6 Y 3.45-3.55, 1 Zr 3.46, 2 Tb 3.49, 3 Tm 3.53-3.57
6 Y 0.5821 0.9094 0.2465  6 Y 3.45-3.55, 1 Zr 3.46, 2 Tb 3.49, 3 Tm 3.53-3.57
7 Y 0.7450 0.7450 0.7540  6 Y 3.45-3.55, 1 Zr 3.45, 2 Tb 3.49, 3 Tm 3.54-3.57
8 Y 0.9094 0.5821 0.2465  6 Y 3.45-3.55, 1 Zr 3.46, 2 Tb 3.49, 3 Tm 3.53-3.57
9 Tm 0.0000 0.0000 0.5000  6 Tm 3.51, 6 Y 3.53-3.57
10 Tm 0.3334 0.6666 0.5000  6 Tm 3.51, 6 Y 3.53-3.57
11 Tm 0.6666 0.3334 0.5000  6 Tm 3.51, 6 Y 3.53-3.57
12 Zr 0.5000 0.5000 0.0000  6 Y 3.45-3.46, 6 Tb 3.51-3.52